# 1
## AlHg2P (PBE-GGA)

Data for an optimized crystal structure of AlHg2P. Values from VASP.

Cell and atoms, written as Quantum ESPRESSO input:
```
&SYSTEM
  ibrav = 0, nat = 4, ntyp = 3
/
ATOMIC_SPECIES
Al 26.98 Al.upf
Hg 200.59 Hg.upf
P 30.97 P.upf
ATOMIC_POSITIONS crystal
Al 0.0000 0.0000 0.0000
Hg 0.2574 0.2574 0.2567
Hg 0.7426 0.7426 0.7433
P 0.5000 0.5000 0.5000
CELL_PARAMETERS angstrom
5.8617 -1.9757 0.0000
5.8617 1.9757 0.0000
-1.2532 0.0000 3.7485
```

Space-group type: C2/m
DFT formation energy (eV per atom): 0.195
DOS(E_F) (states/eV/cell): 1.52
E above lowest polymorph (meV/atom): 242.3

# 2
## LaSb2Rh (PBE-GGA)

Data for an optimized crystal structure of LaSb2Rh. Values from VASP.

Cell and atoms, written as Quantum ESPRESSO input:
```
&SYSTEM
  ibrav = 0, nat = 8, ntyp = 3
/
ATOMIC_SPECIES
La 138.91 La.upf
Sb 121.76 Sb.upf
Rh 102.91 Rh.upf
ATOMIC_POSITIONS crystal
La 0.0000 0.0000 0.0000
La 0.7500 0.2500 0.5000
Sb 0.2369 0.6250 0.1119
Sb 0.3750 0.4869 0.6119
Sb 0.5131 0.1250 0.8881
Sb 0.8750 0.7631 0.3881
Rh 0.2500 0.7500 0.5000
Rh 0.5000 0.5000 0.0000
CELL_PARAMETERS angstrom
-2.5636 2.5636 8.8719
2.5636 -2.5636 8.8719
2.5636 2.5636 -8.8719
```

E_form (uncorrected) (eV/atom): -0.44
Space-group type: I-42d
DOS(E_F) (states/eV/cell): 0.63

# 3
## CaDyZr (PBE-GGA)

Data for an optimized crystal structure of CaDyZr. Values from VASP.

Cell and atoms, written as Quantum ESPRESSO input:
```
&SYSTEM
  ibrav = 0, nat = 6, ntyp = 3
/
ATOMIC_SPECIES
Ca 40.08 Ca.upf
Dy 162.50 Dy.upf
Zr 91.22 Zr.upf
ATOMIC_POSITIONS crystal
Ca 0.2500 0.2500 0.1113
Ca 0.7500 0.7500 0.8887
Dy 0.2500 0.2500 0.7269
Dy 0.7500 0.7500 0.2731
Zr 0.2500 0.7500 0.5474
Zr 0.7500 0.2500 0.4526
CELL_PARAMETERS angstrom
3.4486 0.0000 0.0000
0.0000 5.3857 0.0000
0.0000 0.0000 9.9102
```

Space-group type: Pmmn
DFT formation energy (eV per atom): 0.132
DOS(E_F) (states/eV/cell): 7.51
E above lowest polymorph (meV/atom): 0.0

# 4
## SiAsRh2O (PBE-GGA)

Data for an optimized crystal structure of SiAsRh2O. Values from VASP.

Cell and atoms, written as Quantum ESPRESSO input:
```
&SYSTEM
  ibrav = 0, nat = 5, ntyp = 4
/
ATOMIC_SPECIES
Si 28.09 Si.upf
As 74.92 As.upf
Rh 102.91 Rh.upf
O 16.00 O.upf
ATOMIC_POSITIONS crystal
Si 0.0000 0.0000 0.0000
As 0.0000 0.0000 0.5000
Rh 0.0000 0.5000 0.5000
Rh 0.5000 0.0000 0.5000
O 0.5000 0.5000 0.0000
CELL_PARAMETERS angstrom
4.5562 0.0000 0.0000
0.0000 4.5562 0.0000
0.0000 0.0000 4.8035
```

E_form (uncorrected) (eV/atom): 1.17
Space-group type: P4/mmm
DOS(E_F) (states/eV/cell): 7.08

# 5
## ScTa2Cl (PBE-GGA)

Data for an optimized crystal structure of ScTa2Cl. Values from VASP.

Cell and atoms, written as Quantum ESPRESSO input:
```
&SYSTEM
  ibrav = 0, nat = 4, ntyp = 3
/
ATOMIC_SPECIES
Sc 44.96 Sc.upf
Ta 180.95 Ta.upf
Cl 35.45 Cl.upf
ATOMIC_POSITIONS crystal
Sc 0.0000 0.0000 0.0000
Ta 0.0000 0.5000 0.0000
Ta 0.5000 0.0000 0.0000
Cl 0.5000 0.5000 0.0000
CELL_PARAMETERS angstrom
2.7202 -5.5830 0.0000
2.7202 5.5830 0.0000
-1.8237 0.0000 2.5811
```

E_form (uncorrected) (eV/atom): 0.20
Space-group type: C2/m
DOS(E_F) (states/eV/cell): 3.51
E above lowest polymorph (meV/atom): 392.1

# 6
## NdHgTe (PBE-GGA)

Data for an optimized crystal structure of NdHgTe. Values from VASP.

Cell and atoms, written as Quantum ESPRESSO input:
```
&SYSTEM
  ibrav = 0, nat = 3, ntyp = 3
/
ATOMIC_SPECIES
Nd 144.24 Nd.upf
Hg 200.59 Hg.upf
Te 127.60 Te.upf
ATOMIC_POSITIONS crystal
Nd 0.0000 0.0000 0.0000
Hg 0.6667 0.3333 0.2987
Te 0.3333 0.6667 0.5725
CELL_PARAMETERS angstrom
5.0582 0.0000 0.0000
-2.5291 4.3805 0.0000
0.0000 0.0000 4.0195
```

E_form (uncorrected) (eV/atom): -0.64
Space-group type: P3m1
DOS(E_F) (states/eV/cell): 2.13
E above lowest polymorph (meV/atom): 295.7

Number 1: VASP energy -8.98 eV for the cell shown. Number 2: VASP energy -44.56 eV for the cell shown. Number 3: VASP energy -29.51 eV for the cell shown. Number 4: VASP energy -23.90 eV for the cell shown. Number 5: VASP energy -31.10 eV for the cell shown. Number 6: VASP energy -10.14 eV for the cell shown.